Compound: Nb3Pt2Rh
Source: Alexandria
Functional: PBE
Structure: optimized geometry

Geometry as POSCAR:
```
Nb3Pt2Rh
1.0
-2.586 1.156 0.130
-1.019 -2.097 -1.615
-2.415 -6.532 10.007
Nb Rh Pt
3 1 2
direct
0.000 0.000 0.660
0.000 0.000 0.000
0.000 0.000 0.340
0.500 0.500 0.500
0.500 0.500 0.832
0.500 0.500 0.168
```

Values from the calculation:
Its space-group type is P4/mmm. The formation energy is -0.582 eV/atom. For the total energy, the calculation gives -8.86 eV per atom. The total magnetization is 0.00 μB/f.u. The polymorph energy (0 for the lowest one) comes out at 0 meV per atom.